[1]
A plane-wave DFT calculation with PBE-GGA was carried out for ScTaNb2 after structural relaxation.

Cell lengths 4.751, 4.751, 4.751 Å; angles 60.00, 60.00, 60.00 degrees
Fractional coordinates of all 4 atoms:
1 Sc 0.250 0.250 0.250
2 Nb 0.750 0.750 0.750
3 Nb 0.000 0.000 0.000
4 Ta 0.500 0.500 0.500

- Space group: F-43m (216)
- Total moment: 0.05 μB per cell
- ΔE_f: 4.2 kcal/mol of atoms
- Volume: 75.8 Å³/f.u.

=====

[2]
A plane-wave DFT calculation with PBE-GGA was carried out for ScTaNb after structural relaxation.

Cell lengths 4.544, 4.544, 4.544 Å; angles 60.00, 60.00, 60.00 degrees
Fractional coordinates of all 3 atoms:
1 Sc 0.250 0.250 0.250
2 Ta 0.750 0.750 0.750
3 Nb 0.000 0.000 0.000

- Space group: F-43m (216)
- Total moment: 0.00 μB per cell
- ΔE_f: 19.5 kcal/mol of atoms
- Energy above the most stable polymorph in this dataset: 0.000 eV per atom
- Volume: 66.3 Å³/f.u.

=====

[3]
A plane-wave DFT calculation with PBE-GGA was carried out for TbSc2Nb2 after structural relaxation.

Cell lengths 7.183, 7.183, 7.183 Å; angles 145.47, 145.47, 49.63 degrees
Fractional coordinates of all 5 atoms:
1 Tb 0.000 0.000 0.000
2 Sc 0.250 0.750 0.500
3 Sc 0.750 0.250 0.500
4 Nb 0.592 0.592 0.000
5 Nb 0.408 0.408 0.000

- Space group: I4/mmm (139)
- Total moment: 0.44 μB per cell
- ΔE_f: 9.6 kcal/mol of atoms
- Volume: 118.5 Å³/f.u.

=====

[4]
A plane-wave DFT calculation with PBE-GGA was carried out for ScNb2Tc after structural relaxation.

Cell lengths 4.630, 4.630, 4.630 Å; angles 60.00, 60.00, 60.00 degrees
Fractional coordinates of all 4 atoms:
1 Nb 0.750 0.750 0.750
2 Nb 0.500 0.500 0.500
3 Tc 0.250 0.250 0.250
4 Sc 0.000 0.000 0.000

- Space group: F-43m (216)
- Total moment: 0.02 μB per cell
- ΔE_f: 0.1 kcal/mol of atoms
- Volume: 70.2 Å³/f.u.

=====

[5]
A plane-wave DFT calculation with PBE-GGA was carried out for ScNbTe2 after structural relaxation.

Cell lengths 5.013, 5.013, 5.013 Å; angles 60.00, 60.00, 60.00 degrees
Fractional coordinates of all 4 atoms:
1 Te 0.250 0.250 0.250
2 Te 0.500 0.500 0.500
3 Sc 0.750 0.750 0.750
4 Nb 0.000 0.000 0.000

- Space group: F-43m (216)
- Raw total energy: -5.500 eV/atom
- Total moment: 0.02 μB per cell
- Volume: 89.1 Å³/f.u.

=====

[6]
A plane-wave DFT calculation with PBE-GGA was carried out for ThScNb after structural relaxation.

Cell lengths 4.830, 4.830, 4.830 Å; angles 60.00, 60.00, 60.00 degrees
Fractional coordinates of all 3 atoms:
1 Nb 0.000 0.000 0.000
2 Th 0.750 0.750 0.750
3 Sc 0.250 0.250 0.250

- Space group: F-43m (216)
- Total moment: 0.01 μB per cell
- ΔE_f: 13.4 kcal/mol of atoms
- Energy above the most stable polymorph in this dataset: 0.000 eV per atom
- Volume: 79.7 Å³/f.u.